Entry 1:
This record from Alexandria describes crystalline RhCl3O at its relaxed geometry. The functional is GGA-PBEsol.

Output
- Mass density: 4.507 g/cm³
- DFT total energy: -2.942 eV/atom
- Formation energy without anion corrections: 0.9399 eV/atom
- D(E_F): 0.928 states/eV per atom

Unit cell a=4.3619 b=4.3619 c=4.3619 alpha=90.00 beta=90.00 gamma=90.00
Element x y z (fractional)
Rh  0.0000  0.0000  0.0000
Cl  0.0000  0.5000  0.5000
Cl  0.5000  0.0000  0.5000
Cl  0.5000  0.5000  0.0000
O  0.5000  0.5000  0.5000


Entry 2:
This record from Alexandria describes crystalline RhClO2 at its relaxed geometry. The functional is GGA-PBEsol.

Output
- Mass density: 6.812 g/cm³
- DFT total energy: -4.304 eV/atom
- Formation energy without anion corrections: 0.8569 eV/atom
- D(E_F): 1.086 states/eV per atom

Unit cell a=5.4971 b=5.4971 c=5.4971 alpha=90.00 beta=90.00 gamma=90.00
Element x y z (fractional)
Rh  0.0000  0.0000  0.0000
Rh  0.0000  0.5000  0.5000
Rh  0.5000  0.0000  0.5000
Rh  0.5000  0.5000  0.0000
Cl  0.0000  0.0000  0.5000
Cl  0.0000  0.5000  0.0000
Cl  0.5000  0.0000  0.0000
Cl  0.5000  0.5000  0.5000
O  0.2500  0.2500  0.2500
O  0.2500  0.2500  0.7500
O  0.2500  0.7500  0.2500
O  0.2500  0.7500  0.7500
O  0.7500  0.2500  0.2500
O  0.7500  0.2500  0.7500
O  0.7500  0.7500  0.2500
O  0.7500  0.7500  0.7500


Entry 3:
This record from Alexandria describes crystalline RuCl2O at its relaxed geometry. The functional is GGA-PBEsol.

Output
- Mass density: 4.193 g/cm³
- DFT total energy: -5.619 eV/atom
- Formation energy without anion corrections: -0.7596 eV/atom
- D(E_F): 0.299 states/eV per atom

Unit cell a=3.5250 b=3.6479 c=11.5779 alpha=90.00 beta=90.00 gamma=90.00
Element x y z (fractional)
Ru  0.0000  0.0000  0.0000
Ru  0.5000  0.5000  0.5000
Cl  0.0000  0.5000  0.3631
Cl  0.0000  0.5000  0.6369
Cl  0.5000  0.0000  0.1369
Cl  0.5000  0.0000  0.8631
O  0.0000  0.5000  0.0000
O  0.5000  0.0000  0.5000


Entry 4:
This record from Alexandria describes crystalline RuSCl2O at its relaxed geometry. The functional is GGA-PBEsol.

Output
- Mass density: 3.653 g/cm³
- DFT total energy: -3.993 eV/atom
- Formation energy without anion corrections: 0.7717 eV/atom
- D(E_F): 0.836 states/eV per atom

Unit cell a=5.3347 b=5.3347 c=3.5151 alpha=90.00 beta=90.00 gamma=90.00
Element x y z (fractional)
Ru  0.0000  0.0000  0.0000
S  0.5000  0.5000  0.0000
Cl  0.0000  0.5000  0.5000
Cl  0.5000  0.0000  0.5000
O  0.0000  0.0000  0.5000


Q: What is the formation energy without anion corrections in the third record?
A: -0.7596 eV/atom


Q: Look up the mass density of the third one.
A: 4.193 g/cm³


Q: What is the formula in the fourth record?
A: RuSCl2O


Q: The lowest mass density belongs to which entry?
A: RuSCl2O